An optimized crystal structure of VSF2, computed with GGA+U.

Calculated values
The total energy is -21.02 eV per formula unit. The total magnetization comes out at 3.28 μB/f.u.

a = 3.0700 Å, b = 3.0700 Å, c = 28.6472 Å
α = 90.00°, β = 90.00°, γ = 120.00°
Closest atoms and distances in Å follow each position.
Space group R-3m (No. 166, hexagonal axes)
Inequivalent atoms, fractional coordinates:
1 V 0.0000 0.0000 0.0000 x3  6 F 2.08
2 S 0.0000 0.0000 0.5000 x3  6 S 3.07
3 F 0.0000 0.0000 0.3714 x6  3 V 2.08